Nd5Sb4Te: optimized geometry, PBE.

Values from the calculation:
Total DFT energy (no corrections)   -5.608 eV/atom
Total moment   0.0000 μB/atom
ΔE_f (raw)   -1.26 eV per atom
E above lowest polymorph   1.1 kJ/mol of atoms

Cell lengths 4.5205, 4.5205, 31.9757 Å; angles 90.00, 90.00, 90.00 degrees
Closest atoms and distances in Å follow each position.
Space group I4/mmm (No. 139)
One atom of each set of equivalent atoms:
1 Nd 0.0000 0.0000 0.0000 (multiplicity 2)  2 Sb 3.17, 4 Te 3.20
2 Nd 0.0000 0.0000 0.2002 (multiplicity 4)  6 Sb 3.18-3.23
3 Nd 0.0000 0.0000 0.3980 (multiplicity 4)  5 Sb 3.14-3.20, 1 Te 3.26
4 Sb 0.0000 0.0000 0.0991 (multiplicity 4)  6 Nd 3.17-3.23
5 Sb 0.0000 0.0000 0.2998 (multiplicity 4)  6 Nd 3.14-3.20
6 Te 0.0000 0.0000 0.5000 (multiplicity 2)  6 Nd 3.20-3.26

---

Nd3SbTe2: optimized geometry, PBE.

Values from the calculation:
Total DFT energy (no corrections)   -5.501 eV/atom
Total moment   0.0000 μB/atom
ΔE_f (raw)   -1.38 eV per atom

Cell lengths 4.4945, 6.3673, 13.6040 Å; angles 90.00, 90.00, 90.00 degrees
Closest atoms and distances in Å follow each position.
Space group Immm (No. 71)
One atom of each set of equivalent atoms:
1 Nd 0.0000 0.0000 0.0000 (multiplicity 2)  2 Sb 3.18, 4 Te 3.21
2 Nd 0.0000 0.0000 0.3395 (multiplicity 4)  2 Sb 3.13, 4 Te 3.19-3.24
3 Sb 0.0000 0.5000 0.0000 (multiplicity 2)  6 Nd 3.13-3.18
4 Te 0.0000 0.5000 0.3317 (multiplicity 4)  6 Nd 3.19-3.24

---

Nd5Sb4Te: optimized geometry, PBE.

Values from the calculation:
Total DFT energy (no corrections)   -5.619 eV/atom
Total moment   0.0000 μB/atom
ΔE_f (raw)   -1.27 eV per atom
E above lowest polymorph   0.0 kJ/mol of atoms

Cell lengths 10.1112, 10.1112, 6.3936 Å; angles 90.00, 90.00, 90.00 degrees
Closest atoms and distances in Å follow each position.
Space group I4/m (No. 87)
One atom of each set of equivalent atoms:
1 Nd 0.0000 0.0000 0.0000 (multiplicity 2)  4 Sb 3.19, 2 Te 3.20
2 Nd 0.1015 0.6955 0.5000 (multiplicity 8)  5 Sb 3.16-3.21, 1 Te 3.25
3 Sb 0.1011 0.7013 0.0000 (multiplicity 8)  6 Nd 3.16-3.21
4 Te 0.0000 0.0000 0.5000 (multiplicity 2)  6 Nd 3.20-3.25

---

Nd5SbTe5: optimized geometry, PBE.

Values from the calculation:
Total DFT energy (no corrections)   -5.396 eV/atom
Total moment   0.0000 μB/atom
ΔE_f (raw)   -1.43 eV per atom

Cell lengths 14.1714, 6.3742, 8.9641 Å; angles 90.00, 108.41, 90.00 degrees
Closest atoms and distances in Å follow each position.
Space group C2/m (No. 12)
One atom of each set of equivalent atoms:
1 Nd 0.0000 0.0000 0.0000 (multiplicity 2)  4 Te 3.18, 2 Sb 3.19
2 Nd 0.1634 0.5000 0.3321 (multiplicity 4)  5 Te 3.14-3.19, 1 Sb 3.14
3 Nd 0.1634 0.5000 0.8310 (multiplicity 4)  5 Te 3.13-3.25, 1 Sb 3.14
4 Sb 0.0000 0.5000 0.0000 (multiplicity 2)  6 Nd 3.14-3.19
5 Te 0.0000 0.5000 0.5000 (multiplicity 2)  4 Nd 3.13-3.14
6 Te 0.1643 0.0000 0.3367 (multiplicity 4)  5 Nd 3.18-3.25
7 Te 0.1658 0.0000 0.8293 (multiplicity 4)  5 Nd 3.18-3.24

---

Nd4SbTe3: optimized geometry, PBE.

Values from the calculation:
Total DFT energy (no corrections)   -5.470 eV/atom
Total moment   0.0000 μB/atom
ΔE_f (raw)   -1.39 eV per atom

Cell lengths 9.0631, 12.7510, 4.4871 Å; angles 90.00, 90.00, 90.00 degrees
Closest atoms and distances in Å follow each position.
Space group Cmmm (No. 65)
One atom of each set of equivalent atoms:
1 Nd 0.0000 0.2450 0.0000 (multiplicity 4)  1 Sb 3.12, 5 Te 3.19-3.25
2 Nd 0.2418 0.0000 0.5000 (multiplicity 4)  2 Sb 3.14, 4 Te 3.19-3.24
3 Sb 0.0000 0.0000 0.0000 (multiplicity 2)  6 Nd 3.12-3.14
4 Te 0.0000 0.5000 0.0000 (multiplicity 2)  6 Nd 3.24-3.25
5 Te 0.2500 0.2500 0.5000 (multiplicity 4)  6 Nd 3.19

---

Nd10Sb3Te3: optimized geometry, PBE.

Values from the calculation:
Total DFT energy (no corrections)   -5.376 eV/atom
Total moment   0.0001 μB/atom
ΔE_f (raw)   -1.03 eV per atom

Cell lengths 9.3487, 9.3487, 6.4471 Å; angles 90.00, 90.00, 120.00 degrees
Closest atoms and distances in Å follow each position.
Space group P-62m (No. 189)
One atom of each set of equivalent atoms:
1 Nd 0.0000 0.2539 0.0000 (multiplicity 3)  3 Sb 3.18-3.37, 2 Te 3.45
2 Nd 0.0000 0.7460 0.5000 (multiplicity 3)  3 Te 3.17-3.38, 2 Sb 3.45
3 Nd 0.3333 0.6667 0.2479 (multiplicity 4)  2 Nd 3.20-3.25, 3 Sb 3.31, 3 Te 3.33
4 Sb 0.0000 0.6141 0.0000 (multiplicity 3)  9 Nd 3.18-3.45
5 Te 0.0000 0.3847 0.5000 (multiplicity 3)  9 Nd 3.17-3.45

---

Nd7Sb4Te4: optimized geometry, PBE.

Values from the calculation:
Total DFT energy (no corrections)   -5.317 eV/atom
Total moment   0.0467 μB/atom
ΔE_f (raw)   -1.16 eV per atom

Cell lengths 15.7198, 15.7198, 8.2048 Å; angles 90.00, 90.00, 90.00 degrees
Closest atoms and distances in Å follow each position.
Space group I4/mmm (No. 139)
One atom of each set of equivalent atoms:
1 Nd 0.0000 0.0000 0.2416 (multiplicity 4)  8 Te 3.35
2 Nd 0.0000 0.2798 0.0000 (multiplicity 8)  2 Te 3.14, 4 Sb 3.30
3 Nd 0.0000 0.3617 0.5000 (multiplicity 8)  1 Te 3.09, 4 Sb 3.11
4 Nd 0.2058 0.2058 0.5000 (multiplicity 8)  4 Sb 3.21, 2 Te 3.30
5 Sb 0.1483 0.3517 0.2500 (multiplicity 16)  6 Nd 3.11-3.30
6 Te 0.0000 0.1648 0.5000 (multiplicity 8)  5 Nd 3.09-3.35
7 Te 0.1217 0.1217 0.0000 (multiplicity 8)  4 Nd 3.14-3.35

---

Nd5Sb2Te2: optimized geometry, PBE.

Values from the calculation:
Total DFT energy (no corrections)   -5.250 eV/atom
Total moment   0.0002 μB/atom
ΔE_f (raw)   -0.99 eV per atom
E above lowest polymorph   18.4 kJ/mol of atoms

Cell lengths 15.7109, 5.5114, 9.3155 Å; angles 90.00, 125.81, 90.00 degrees
Closest atoms and distances in Å follow each position.
Space group C2/m (No. 12)
One atom of each set of equivalent atoms:
1 Nd 0.0000 0.0000 0.0000 (multiplicity 2)  2 Te 3.37, 4 Sb 3.46, 6 Nd 3.58-3.67
2 Nd 0.1348 0.0000 0.7955 (multiplicity 4)  2 Te 3.16-3.20, 3 Sb 3.16-3.24
3 Nd 0.1346 0.5000 0.3171 (multiplicity 4)  3 Te 3.06-3.17, 2 Sb 3.17-3.22
4 Sb 0.1174 0.5000 0.9601 (multiplicity 4)  7 Nd 3.16-3.46
5 Te 0.1165 0.0000 0.4395 (multiplicity 4)  6 Nd 3.06-3.37

---

Nd8Sb6Te: optimized geometry, PBE.

Values from the calculation:
Total DFT energy (no corrections)   -5.287 eV/atom
Total moment   0.0000 μB/atom
ΔE_f (raw)   -0.89 eV per atom

Cell lengths 11.0136, 11.0136, 4.8037 Å; angles 90.00, 90.00, 120.00 degrees
Closest atoms and distances in Å follow each position.
Space group P-3 (No. 147)
One atom of each set of equivalent atoms:
1 Nd 0.0292 0.3139 0.2631 (multiplicity 6)  4 Sb 3.06-3.27
2 Nd 0.3333 0.6667 0.7429 (multiplicity 2)  6 Sb 3.26-3.28
3 Sb 0.1223 0.6463 0.2405 (multiplicity 6)  6 Nd 3.06-3.28
4 Te 0.0000 0.0000 0.5000 (multiplicity 1)  6 Nd 3.50

---

Nd5Sb2Te: optimized geometry, PBE.

Values from the calculation:
Total DFT energy (no corrections)   -5.098 eV/atom
Total moment   0.0000 μB/atom
ΔE_f (raw)   -0.70 eV per atom

Cell lengths 6.2641, 13.4126, 14.1217 Å; angles 90.00, 90.00, 90.00 degrees
Closest atoms and distances in Å follow each position.
Space group Cmcm (No. 63)
One atom of each set of equivalent atoms:
1 Nd 0.0000 0.0504 0.1173 (multiplicity 8)  2 Sb 3.12-3.14, 1 Te 3.15
2 Nd 0.0000 0.3136 0.7500 (multiplicity 4)  2 Sb 3.14, 2 Te 3.21
3 Nd 0.0000 0.3661 0.0631 (multiplicity 8)  1 Te 3.14, 3 Sb 3.16-3.19
4 Sb 0.0000 0.1768 0.5698 (multiplicity 8)  6 Nd 3.12-3.19
5 Te 0.0000 0.2390 0.2500 (multiplicity 4)  6 Nd 3.14-3.21

---

Nd2ThSb2Te2: optimized geometry, PBE.

Values from the calculation:
Total DFT energy (no corrections)   -5.232 eV/atom
Total moment   0.0000 μB/atom
ΔE_f (raw)   -0.73 eV per atom

Cell lengths 5.9842, 5.9842, 15.5761 Å; angles 90.00, 90.00, 90.00 degrees
Closest atoms and distances in Å follow each position.
Space group I4/mmm (No. 139)
One atom of each set of equivalent atoms:
1 Nd 0.0000 0.0000 0.1136 (multiplicity 4)  1 Te 2.95
2 Th 0.0000 0.0000 0.5000 (multiplicity 2)  4 Sb 2.99, 2 Te 3.07
3 Sb 0.0000 0.5000 0.0000 (multiplicity 4)  2 Th 2.99
4 Te 0.0000 0.0000 0.3031 (multiplicity 4)  1 Nd 2.95, 1 Th 3.07

---

Nd3Tl3SbTe8: optimized geometry, PBE.

Values from the calculation:
Total DFT energy (no corrections)   -4.213 eV/atom
Total moment   0.0000 μB/atom
ΔE_f (raw)   -0.84 eV per atom

Cell lengths 9.0848, 9.0848, 24.2547 Å; angles 90.00, 90.00, 120.00 degrees
Closest atoms and distances in Å follow each position.
Space group R-3m (No. 166, hexagonal axes)
One atom of each set of equivalent atoms:
1 Nd 0.0000 0.5000 0.0000 (multiplicity 9)  6 Te 3.18-3.19
2 Tl 0.0000 0.5000 0.5000 (multiplicity 9)  6 Te 3.44-3.47
3 Sb 0.0000 0.0000 0.0000 (multiplicity 3)  6 Te 3.09
4 Te 0.0000 0.0000 0.2586 (multiplicity 6)  3 Nd 3.19, 3 Tl 3.44
5 Te 0.0088 0.5044 0.7383 (multiplicity 18)  1 Sb 3.09, 2 Nd 3.18